# 1
# Tb2ThZn, optimized geometry, DFT PBE-GGA
data_Tb2ThZn
_cell_length_a 3.576
_cell_length_b 3.576
_cell_length_c 10.601
_cell_angle_alpha 80.29
_cell_angle_beta 80.29
_cell_angle_gamma 60.00
_symmetry_space_group_name_H-M 'P 1'
_symmetry_Int_Tables_number 1
loop_
_symmetry_equiv_pos_as_xyz
'x,y,z'
loop_
_atom_site_label
_atom_site_type_symbol
_atom_site_fract_x
_atom_site_fract_y
_atom_site_fract_z
_atom_site_occupancy
Tb1 Tb 0.072 0.072 0.784 1
Tb2 Tb 0.261 0.261 0.216 1
Th1 Th 0.501 0.501 0.498 1
Zn1 Zn 0.666 0.666 0.001 1
# Energy relative to the lowest polymorph listed for this composition ... 143 meV per atom
# Calculated formation energy ... -0.020 eV per atom
# DOS(E_F) ... 6.17 states/eV/f.u.

# 2
# GeP2IrBr, optimized geometry, DFT PBE-GGA
data_GeP2IrBr
_cell_length_a 4.458
_cell_length_b 5.813
_cell_length_c 4.458
_cell_angle_alpha 90.00
_cell_angle_beta 90.00
_cell_angle_gamma 90.00
_symmetry_space_group_name_H-M 'P 1'
_symmetry_Int_Tables_number 1
loop_
_symmetry_equiv_pos_as_xyz
'x,y,z'
loop_
_atom_site_label
_atom_site_type_symbol
_atom_site_fract_x
_atom_site_fract_y
_atom_site_fract_z
_atom_site_occupancy
P1 P 0.000 0.000 0.500 1
P2 P 0.500 0.000 0.000 1
Ge1 Ge 0.000 0.500 0.000 1
Ir1 Ir 0.000 0.000 0.000 1
Br1 Br 0.500 0.500 0.500 1
# DOS(E_F) ... 3.29 states/eV/f.u.

# 3
# Ca2Cd3Au6, optimized geometry, DFT PBE-GGA
data_Ca2Cd3Au6
_cell_length_a 4.004
_cell_length_b 8.209
_cell_length_c 8.209
_cell_angle_alpha 69.65
_cell_angle_beta 90.00
_cell_angle_gamma 90.00
_symmetry_space_group_name_H-M 'P 1'
_symmetry_Int_Tables_number 1
loop_
_symmetry_equiv_pos_as_xyz
'x,y,z'
loop_
_atom_site_label
_atom_site_type_symbol
_atom_site_fract_x
_atom_site_fract_y
_atom_site_fract_z
_atom_site_occupancy
Ca1 Ca 0.000 0.299 0.701 1
Ca2 Ca 0.000 0.701 0.299 1
Cd1 Cd 0.000 0.236 0.236 1
Cd2 Cd 0.000 0.764 0.764 1
Cd3 Cd 0.500 0.000 0.000 1
Au1 Au 0.500 0.392 0.392 1
Au2 Au 0.500 0.608 0.608 1
Au3 Au 0.500 0.959 0.352 1
Au4 Au 0.500 0.041 0.648 1
Au5 Au 0.500 0.352 0.959 1
Au6 Au 0.500 0.648 0.041 1
# Calculated formation energy ... -0.396 eV per atom
# DOS(E_F) ... 3.14 states/eV/f.u.

# 4
# TlMoPb, optimized geometry, DFT PBE-GGA
data_TlMoPb
_cell_length_a 3.275
_cell_length_b 3.275
_cell_length_c 7.548
_cell_angle_alpha 90.00
_cell_angle_beta 90.00
_cell_angle_gamma 120.00
_symmetry_space_group_name_H-M 'P 1'
_symmetry_Int_Tables_number 1
loop_
_symmetry_equiv_pos_as_xyz
'x,y,z'
loop_
_atom_site_label
_atom_site_type_symbol
_atom_site_fract_x
_atom_site_fract_y
_atom_site_fract_z
_atom_site_occupancy
Mo1 Mo 0.000 0.000 0.000 1
Pb1 Pb 0.667 0.333 0.303 1
Tl1 Tl 0.333 0.667 0.697 1
# Energy relative to the lowest polymorph listed for this composition ... 21 meV per atom
# Calculated formation energy ... 0.719 eV per atom
# DOS(E_F) ... 2.47 states/eV/f.u.

# 5
# HfFeTc2S, optimized geometry, DFT PBE-GGA
data_HfFeTc2S
_cell_length_a 4.522
_cell_length_b 4.106
_cell_length_c 4.522
_cell_angle_alpha 90.00
_cell_angle_beta 90.00
_cell_angle_gamma 90.00
_symmetry_space_group_name_H-M 'P 1'
_symmetry_Int_Tables_number 1
loop_
_symmetry_equiv_pos_as_xyz
'x,y,z'
loop_
_atom_site_label
_atom_site_type_symbol
_atom_site_fract_x
_atom_site_fract_y
_atom_site_fract_z
_atom_site_occupancy
S1 S 0.000 0.500 0.000 1
Hf1 Hf 0.500 0.500 0.500 1
Tc1 Tc 0.000 0.000 0.500 1
Tc2 Tc 0.500 0.000 0.000 1
Fe1 Fe 0.000 0.000 0.000 1
# DOS(E_F) ... 6.87 states/eV/f.u.

# 6
# FeCo2As, optimized geometry, DFT PBE-GGA
data_FeCo2As
_cell_length_a 3.754
_cell_length_b 2.687
_cell_length_c 5.015
_cell_angle_alpha 73.20
_cell_angle_beta 90.00
_cell_angle_gamma 90.00
_symmetry_space_group_name_H-M 'P 1'
_symmetry_Int_Tables_number 1
loop_
_symmetry_equiv_pos_as_xyz
'x,y,z'
loop_
_atom_site_label
_atom_site_type_symbol
_atom_site_fract_x
_atom_site_fract_y
_atom_site_fract_z
_atom_site_occupancy
As1 As 0.500 0.750 0.750 1
Co1 Co 0.000 0.886 0.997 1
Co2 Co 0.000 0.614 0.503 1
Fe1 Fe 0.500 0.250 0.250 1
# Calculated formation energy ... 0.065 eV per atom
# DOS(E_F) ... 3.86 states/eV/f.u.

# 7
# La3RuAu, optimized geometry, DFT PBE-GGA
data_La3RuAu
_cell_length_a 21.808
_cell_length_b 6.130
_cell_length_c 8.091
_cell_angle_alpha 90.00
_cell_angle_beta 147.70
_cell_angle_gamma 90.00
_symmetry_space_group_name_H-M 'P 1'
_symmetry_Int_Tables_number 1
loop_
_symmetry_equiv_pos_as_xyz
'x,y,z'
loop_
_atom_site_label
_atom_site_type_symbol
_atom_site_fract_x
_atom_site_fract_y
_atom_site_fract_z
_atom_site_occupancy
Ru1 Ru 0.080 0.818 0.603 1
Ru2 Ru 0.920 0.182 0.397 1
Ru3 Ru 0.420 0.318 0.897 1
Ru4 Ru 0.580 0.682 0.103 1
Au1 Au 0.331 0.876 0.141 1
Au2 Au 0.669 0.124 0.859 1
Au3 Au 0.169 0.376 0.359 1
Au4 Au 0.831 0.624 0.641 1
La1 La 0.142 0.881 0.429 1
La2 La 0.858 0.119 0.571 1
La3 La 0.358 0.381 0.071 1
La4 La 0.642 0.619 0.929 1
La5 La 0.167 0.110 0.027 1
La6 La 0.833 0.890 0.973 1
La7 La 0.333 0.610 0.473 1
La8 La 0.667 0.390 0.527 1
La9 La 0.488 0.892 0.182 1
La10 La 0.512 0.108 0.818 1
La11 La 0.012 0.392 0.318 1
La12 La 0.988 0.608 0.682 1
# Energy relative to the lowest polymorph listed for this composition ... 62 meV per atom
# Calculated formation energy ... -0.425 eV per atom
# DOS(E_F) ... 4.05 states/eV/f.u.

# 8
# PuMgZn, optimized geometry, DFT PBE-GGA
data_PuMgZn
_cell_length_a 3.079
_cell_length_b 3.079
_cell_length_c 7.085
_cell_angle_alpha 102.55
_cell_angle_beta 102.55
_cell_angle_gamma 90.00
_symmetry_space_group_name_H-M 'P 1'
_symmetry_Int_Tables_number 1
loop_
_symmetry_equiv_pos_as_xyz
'x,y,z'
loop_
_atom_site_label
_atom_site_type_symbol
_atom_site_fract_x
_atom_site_fract_y
_atom_site_fract_z
_atom_site_occupancy
Zn1 Zn 0.674 0.674 0.347 1
Mg1 Mg 0.315 0.315 0.631 1
Pu1 Pu 0.011 0.011 0.022 1
# Calculated formation energy ... -0.019 eV per atom
# DOS(E_F) ... 5.48 states/eV/f.u.

# 9
# U4TaN5, optimized geometry, DFT PBE-GGA
data_U4TaN5
_cell_length_a 4.782
_cell_length_b 5.840
_cell_length_c 5.840
_cell_angle_alpha 80.35
_cell_angle_beta 65.83
_cell_angle_gamma 65.83
_symmetry_space_group_name_H-M 'P 1'
_symmetry_Int_Tables_number 1
loop_
_symmetry_equiv_pos_as_xyz
'x,y,z'
loop_
_atom_site_label
_atom_site_type_symbol
_atom_site_fract_x
_atom_site_fract_y
_atom_site_fract_z
_atom_site_occupancy
U1 U 0.402 0.399 0.799 1
U2 U 0.801 0.799 0.601 1
U3 U 0.201 0.201 0.399 1
U4 U 0.600 0.601 0.201 1
Ta1 Ta 0.001 0.000 0.000 1
N1 N 0.906 0.379 0.812 1
N2 N 0.284 0.812 0.621 1
N3 N 0.718 0.188 0.379 1
N4 N 0.096 0.621 0.188 1
N5 N 0.501 0.000 0.000 1
# DOS(E_F) ... 17.22 states/eV/f.u.

# 10
# B2C, optimized geometry, DFT PBE-GGA
data_B2C
_cell_length_a 4.863
_cell_length_b 4.863
_cell_length_c 4.672
_cell_angle_alpha 81.33
_cell_angle_beta 81.33
_cell_angle_gamma 121.31
_symmetry_space_group_name_H-M 'P 1'
_symmetry_Int_Tables_number 1
loop_
_symmetry_equiv_pos_as_xyz
'x,y,z'
loop_
_atom_site_label
_atom_site_type_symbol
_atom_site_fract_x
_atom_site_fract_y
_atom_site_fract_z
_atom_site_occupancy
B1 B 0.716 0.949 0.131 1
B2 B 0.949 0.716 0.131 1
B3 B 0.842 0.842 0.836 1
B4 B 0.812 0.812 0.477 1
B5 B 0.188 0.188 0.523 1
B6 B 0.158 0.158 0.164 1
B7 B 0.051 0.284 0.869 1
B8 B 0.284 0.051 0.869 1
C1 C 0.485 0.852 0.445 1
C2 C 0.852 0.485 0.445 1
C3 C 0.148 0.515 0.555 1
C4 C 0.515 0.148 0.555 1
# Energy relative to the lowest polymorph listed for this composition ... 189 meV per atom
# Calculated formation energy ... 0.375 eV per atom
# DOS(E_F) ... 0.08 states/eV/f.u.

# 11
# Fe2RhW, optimized geometry, DFT PBE-GGA
data_Fe2RhW
_cell_length_a 2.856
_cell_length_b 2.856
_cell_length_c 6.567
_cell_angle_alpha 90.00
_cell_angle_beta 90.00
_cell_angle_gamma 90.00
_symmetry_space_group_name_H-M 'P 1'
_symmetry_Int_Tables_number 1
loop_
_symmetry_equiv_pos_as_xyz
'x,y,z'
loop_
_atom_site_label
_atom_site_type_symbol
_atom_site_fract_x
_atom_site_fract_y
_atom_site_fract_z
_atom_site_occupancy
Fe1 Fe 0.000 0.000 0.020 1
Fe2 Fe 0.500 0.500 0.229 1
Rh1 Rh 0.000 0.000 0.482 1
W1 W 0.500 0.500 0.768 1
# Energy relative to the lowest polymorph listed for this composition ... 7 meV per atom
# Calculated formation energy ... 0.000 eV per atom
# DOS(E_F) ... 3.12 states/eV/f.u.

# 12
# Pm5Sm6Sc2, optimized geometry, DFT PBE-GGA
data_Pm5Sm6Sc2
_cell_length_a 3.526
_cell_length_b 10.854
_cell_length_c 22.599
_cell_angle_alpha 90.00
_cell_angle_beta 90.00
_cell_angle_gamma 90.00
_symmetry_space_group_name_H-M 'P 1'
_symmetry_Int_Tables_number 1
loop_
_symmetry_equiv_pos_as_xyz
'x,y,z'
loop_
_atom_site_label
_atom_site_type_symbol
_atom_site_fract_x
_atom_site_fract_y
_atom_site_fract_z
_atom_site_occupancy
Pm1 Pm 0.500 0.334 0.491 1
Pm2 Pm 0.500 0.666 0.509 1
Pm3 Pm 0.500 0.834 0.009 1
Pm4 Pm 0.500 0.166 0.991 1
Pm5 Pm 0.500 0.586 0.252 1
Pm6 Pm 0.500 0.414 0.748 1
Pm7 Pm 0.500 0.086 0.248 1
Pm8 Pm 0.500 0.914 0.752 1
Pm9 Pm 0.500 0.500 0.000 1
Pm10 Pm 0.500 0.000 0.500 1
Sm1 Sm 0.000 0.137 0.382 1
Sm2 Sm 0.000 0.863 0.618 1
Sm3 Sm 0.000 0.637 0.118 1
Sm4 Sm 0.000 0.363 0.882 1
Sm5 Sm 0.500 0.335 0.140 1
Sm6 Sm 0.500 0.665 0.860 1
Sm7 Sm 0.500 0.835 0.360 1
Sm8 Sm 0.500 0.165 0.640 1
Sm9 Sm 0.000 0.532 0.387 1
Sm10 Sm 0.000 0.468 0.613 1
Sm11 Sm 0.000 0.032 0.113 1
Sm12 Sm 0.000 0.968 0.887 1
Sc1 Sc 0.000 0.336 0.272 1
Sc2 Sc 0.000 0.664 0.728 1
Sc3 Sc 0.000 0.836 0.228 1
Sc4 Sc 0.000 0.164 0.772 1
# Calculated formation energy ... 0.140 eV per atom
# DOS(E_F) ... 18.65 states/eV/f.u.

The records above give, respectively, VASP energy values of -4.508 -4.854 -2.797 -4.916 -7.947 -6.766 -5.892 -5.752 -11.137 -7.152 -9.308 -4.839 eV per atom.
The records above give, respectively, theoretical density values of 8.873 5.847 10.495 12.019 9.144 8.525 8.213 8.668 14.714 2.487 12.348 6.593 g/cm3.